Entry 1:
A relaxed TaSiNi2 crystal, computed with PBE.

Summary:
SG = R-3m
density of states at the Fermi level = 3.3 states/eV/cell
formation energy (no corrections) = -0.12 eV/atom
VASP energy = -29.3 eV/cell

a b c (Å): 8.308 8.308 8.308
angles (deg): 18.99 18.99 18.99
Atoms (fractional coordinates):
Ni1 0.991 0.991 0.991
Ni2 0.509 0.509 0.509
Si1 0.250 0.250 0.250
Ta1 0.750 0.750 0.750

Entry 2:
A relaxed MgCr2Os crystal, computed with PBE.

Summary:
SG = Cmm2
density of states at the Fermi level = 3.4 states/eV/cell
calculated formation energy = 0.290 eV/atom
VASP energy = -30.9 eV/cell

a b c (Å): 2.663 2.663 8.515
angles (deg): 90.00 90.00 112.74
Atoms (fractional coordinates):
Cr1 0.000 0.000 0.014
Cr2 0.500 0.500 0.220
Mg1 0.000 0.000 0.496
Os1 0.500 0.500 0.770

Entry 3:
A relaxed GeBi2S crystal, computed with PBE.

Summary:
SG = I-42d
E above lowest polymorph = 13 meV per atom
density of states at the Fermi level = 2.7 states/eV/cell
formation energy (no corrections) = 0.20 eV/atom
VASP energy = -31.4 eV/cell

a b c (Å): 6.335 6.335 8.394
angles (deg): 67.83 67.83 90.00
Atoms (fractional coordinates):
S1 0.500 0.500 0.000
S2 0.250 0.750 0.500
Ge1 0.000 0.000 0.000
Ge2 0.750 0.250 0.500
Bi1 0.610 0.125 0.250
Bi2 0.140 0.625 0.250
Bi3 0.375 0.390 0.750
Bi4 0.875 0.860 0.750

Entry 4:
A relaxed Hg2Pd2Au crystal, computed with PBE.

Summary:
SG = I4/mmm
E above lowest polymorph = 315 meV per atom
density of states at the Fermi level = 2.8 states/eV/cell
calculated formation energy = 0.244 eV/atom
VASP energy = -13.0 eV/cell

a b c (Å): 3.990 3.990 7.097
angles (deg): 73.67 73.67 90.00
Atoms (fractional coordinates):
Au1 0.000 0.000 0.000
Hg1 0.750 0.250 0.500
Hg2 0.250 0.750 0.500
Pd1 0.401 0.401 0.198
Pd2 0.599 0.599 0.802

Entry 5:
A relaxed Tl6ICl3F2 crystal, computed with PBE.

Summary:
SG = C2/m
density of states at the Fermi level = 0.0 states/eV/cell
formation energy (no corrections) = -1.16 eV/atom
VASP energy = -38.9 eV/cell

a b c (Å): 4.459 9.802 9.668
angles (deg): 99.96 103.33 90.00
Atoms (fractional coordinates):
Tl1 0.318 0.925 0.636
Tl2 0.691 0.609 0.382
Tl3 0.682 0.075 0.364
Tl4 0.024 0.284 0.048
Tl5 0.976 0.716 0.952
Tl6 0.309 0.391 0.618
I1 0.500 0.000 0.000
Cl1 0.500 0.500 0.000
Cl2 0.854 0.222 0.708
Cl3 0.146 0.778 0.292
F1 0.809 0.773 0.618
F2 0.191 0.227 0.382

Entry 6:
A relaxed BeTl3Hg crystal, computed with PBE.

Summary:
SG = Pm-3m
E above lowest polymorph = 0 meV per atom
density of states at the Fermi level = 2.3 states/eV/cell
calculated formation energy = 0.248 eV/atom
VASP energy = -9.9 eV/cell

a b c (Å): 5.127 5.127 5.127
angles (deg): 90.00 90.00 90.00
Atoms (fractional coordinates):
Be1 0.000 0.000 0.000
Tl1 0.000 0.500 0.000
Tl2 0.000 0.000 0.500
Tl3 0.500 0.000 0.000
Hg1 0.500 0.500 0.500

Entry 7:
A relaxed Mg2CrPb crystal, computed with PBE.

Summary:
SG = I4/mmm
density of states at the Fermi level = 1.7 states/eV/cell
calculated formation energy = 0.232 eV/atom
VASP energy = -15.6 eV/cell

a b c (Å): 5.491 5.491 5.491
angles (deg): 132.96 132.95 68.73
Last column: magnetic moment on the atom in μB.
Atoms (fractional coordinates):
Cr1 0.750 0.250 0.500  3.71
Mg1 0.000 0.000 0.000  -0.02
Mg2 0.500 0.500 0.000  -0.02
Pb1 0.250 0.750 0.500  -0.07

Entry 8:
A relaxed PmNi4As2 crystal, computed with PBE.

Summary:
SG = R-3m
E above lowest polymorph = 41 meV per atom
density of states at the Fermi level = 4.6 states/eV/cell
calculated formation energy = -0.569 eV/atom
VASP energy = -41.2 eV/cell

a b c (Å): 4.034 4.034 7.817
angles (deg): 75.05 75.05 60.00
Atoms (fractional coordinates):
Pm1 0.000 0.000 0.000
Ni1 0.438 0.438 0.685
Ni2 0.143 0.143 0.572
Ni3 0.562 0.562 0.315
Ni4 0.857 0.857 0.428
As1 0.248 0.248 0.256
As2 0.752 0.752 0.744